Model i:
Here is a relaxed HPbI3 crystal from the Alexandria database. Energies are from PBE.

a b c (Å): 7.8401 6.4685 16.0036
angles (deg): 144.86 81.47 111.15
Atoms (fractional coordinates):
I 0.5053 0.2808 0.8203
I 0.5387 0.2976 0.3338
I 0.8714 0.6710 0.6771
I 0.1725 0.9075 0.4770
I 0.8386 0.6585 0.1715
I 0.2054 0.9198 0.9826
Pb 0.2056 0.4770 0.5040
Pb 0.8384 0.1018 0.6502
H 0.3302 0.6563 0.9092
H 0.7138 0.9220 0.2448

Space group: P-1
Total moment (μB per formula unit): 0.00
N(E_F) (states/eV/cell): 0.000

Model ii:
Here is a relaxed HPbI3 crystal from the Alexandria database. Energies are from PBE.

a b c (Å): 5.2723 5.2723 5.2723
angles (deg): 90.00 90.00 90.00
Atoms (fractional coordinates):
I 0.5000 0.0000 0.0000
I 0.0000 0.0000 0.5000
I 0.0000 0.5000 0.0000
Pb 0.5000 0.5000 0.5000
H 0.0000 0.0000 0.0000

Space group: Pm-3m
Total moment (μB per formula unit): 0.00
N(E_F) (states/eV/cell): 1.056

Verdict on stability: model i comes out on top.

Model i:
Here is a relaxed HPbI crystal from the Alexandria database. Energies are from PBE.

a b c (Å): 4.3790 6.4653 6.5097
angles (deg): 70.97 89.93 90.22
Atoms (fractional coordinates):
H 0.3723 0.9159 0.3324
H 0.8729 0.8046 0.5549
I 0.8707 0.5508 0.1382
I 0.3745 0.1697 0.7492
Pb 0.3702 0.7208 0.6757
Pb 0.8751 0.9998 0.2117

Space group: P-1
Total moment (μB per formula unit): 0.00

Model ii:
Here is a relaxed HPbI crystal from the Alexandria database. Energies are from PBE.

a b c (Å): 4.3717 6.7188 6.5113
angles (deg): 78.42 73.31 68.18
Atoms (fractional coordinates):
H 0.5118 0.1707 0.8271
H 0.4881 0.8293 0.1730
I 0.2604 0.7389 0.7404
I 0.7396 0.2611 0.2596
Pb 0.9020 0.2661 0.7328
Pb 0.0980 0.7339 0.2672

Space group: P-1
Total moment (μB per formula unit): 0.00

Verdict on stability: model i comes out on top.

Model i:
Here is a relaxed HPb2I crystal from the Alexandria database. Energies are from PBE.

a b c (Å): 6.1864 6.1864 7.9930
angles (deg): 67.23 67.23 90.00
Atoms (fractional coordinates):
Pb 0.8750 0.7219 0.7500
Pb 0.2781 0.6250 0.2500
Pb 0.4719 0.1250 0.2500
Pb 0.3750 0.5281 0.7500
I 0.0000 0.0000 0.0000
I 0.7500 0.2500 0.5000
H 0.5000 0.5000 0.0000
H 0.2500 0.7500 0.5000

Space group: I-42d
Total moment (μB per formula unit): 0.00
N(E_F) (states/eV/cell): 0.374

Model ii:
Here is a relaxed HPb2I crystal from the Alexandria database. Energies are from PBE.

a b c (Å): 5.4157 5.4157 5.4157
angles (deg): 60.00 60.00 60.00
Atoms (fractional coordinates):
H 0.0000 0.0000 0.0000
Pb 0.7500 0.7500 0.7500
Pb 0.2500 0.2500 0.2500
I 0.5000 0.5000 0.5000

Space group: Fm-3m
Total moment (μB per formula unit): 0.00
N(E_F) (states/eV/cell): 3.017

Verdict on stability: model i comes out on top.